Density functional theory data (PBE-GGA) for a relaxed TaCdBP2 crystal.

Properties
Energy of formation from the pure elements in eV/atom: 1.0557
SG: P4/mmm
V in A^3/atom: 15.6
Crystal system: tetragonal
Density of states at the Fermi level in states/eV/f.u.: 4.39

a = 4.249 Å, b = 4.308 Å, c = 4.249 Å
α = 90.00°, β = 90.00°, γ = 90.00°
Element x y z (fractional)
P: 0.000 0.000 0.500
P: 0.500 0.000 0.000
B: 0.000 0.000 0.000
Cd: 0.000 0.500 0.000
Ta: 0.500 0.500 0.500